Entry 1:
Computed, not measured: a crystal of KBa2Ru relaxed with PBEsol at the SCAN level of DFT.

E_form	0.402	eV/atom
space-group type	Cmmm (65)
DOS(E_F)	5.8	states/eV per cell
ρ	4.35	g cm⁻³

Lattice parameters (Å, degrees): 5.145 5.452 11.278 90.00 90.00 90.00
Sites, in units of the cell vectors:
K (0.000, 0.000, 0.000)
K (0.500, 0.500, 0.000)
Ba (0.000, 0.500, 0.340)
Ba (0.000, 0.500, 0.660)
Ba (0.500, 0.000, 0.340)
Ba (0.500, 0.000, 0.660)
Ru (0.000, 0.000, 0.500)
Ru (0.500, 0.500, 0.500)

=====

Entry 2:
Computed, not measured: a crystal of K2BaRu relaxed with PBEsol at the SCAN level of DFT.

E_form	1.080	eV/atom
space-group type	P4/mmm (123)
DOS(E_F)	3.2	states/eV per cell
ρ	3.65	g cm⁻³

Lattice parameters (Å, degrees): 3.355 3.355 12.795 90.00 90.00 90.00
Sites, in units of the cell vectors:
K (0.000, 0.000, 0.181)
K (0.000, 0.000, 0.819)
Ba (0.500, 0.500, 0.500)
Ru (0.500, 0.500, 0.000)

=====

Entry 3:
Computed, not measured: a crystal of KBa2Ru relaxed with PBEsol at the SCAN level of DFT.

E_form	0.550	eV/atom
space-group type	Amm2 (38)
DOS(E_F)	5.3	states/eV per cell
ρ	3.68	g cm⁻³

Lattice parameters (Å, degrees): 4.629 5.360 15.079 90.00 90.00 90.00
Sites, in units of the cell vectors:
K (0.000, 0.000, 0.000)
K (0.000, 0.500, 0.500)
Ba (0.000, 0.000, 0.720)
Ba (0.000, 0.500, 0.220)
Ba (0.500, 0.000, 0.372)
Ba (0.500, 0.500, 0.872)
Ru (0.500, 0.000, 0.819)
Ru (0.500, 0.500, 0.319)

=====

Entry 4:
Computed, not measured: a crystal of KBaRu2 relaxed with PBEsol at the SCAN level of DFT.

E_form	1.459	eV/atom
space-group type	R-3m (166)
DOS(E_F)	9.6	states/eV per cell
ρ	7.27	g cm⁻³

Lattice parameters (Å, degrees): 3.017 3.017 32.905 90.00 90.00 120.00
Sites, in units of the cell vectors:
K (0.000, 0.000, 0.000)
K (0.333, 0.667, 0.667)
K (0.667, 0.333, 0.333)
Ba (0.000, 0.000, 0.500)
Ba (0.333, 0.667, 0.167)
Ba (0.667, 0.333, 0.833)
Ru (0.000, 0.000, 0.249)
Ru (0.000, 0.000, 0.751)
Ru (0.333, 0.667, 0.417)
Ru (0.333, 0.667, 0.916)
Ru (0.667, 0.333, 0.084)
Ru (0.667, 0.333, 0.583)

=====

Entry 5:
Computed, not measured: a crystal of K4BaV2S8 relaxed with PBEsol at the SCAN level of DFT.

space-group type	Ibam (72)
DOS(E_F)	0.0	states/eV per cell
ρ	2.74	g cm⁻³
formation energy (no corrections)	-1.4819	eV per atom

Lattice parameters (Å, degrees): 11.221 11.221 11.221 133.39 72.44 127.94
Sites, in units of the cell vectors:
K (0.000, 0.250, 0.750)
K (0.000, 0.750, 0.250)
K (0.076, 0.127, 0.202)
K (0.424, 0.627, 0.051)
K (0.500, 0.250, 0.250)
K (0.500, 0.750, 0.750)
K (0.576, 0.373, 0.949)
K (0.924, 0.873, 0.798)
Ba (0.250, 0.750, 0.500)
Ba (0.750, 0.250, 0.500)
V (0.134, 0.711, 0.845)
V (0.366, 0.211, 0.576)
V (0.634, 0.789, 0.424)
V (0.866, 0.289, 0.155)
S (0.091, 0.368, 0.103)
S (0.109, 0.474, 0.583)
S (0.235, 0.132, 0.723)
S (0.249, 0.235, 0.484)
S (0.251, 0.735, 0.986)
S (0.265, 0.988, 0.897)
S (0.391, 0.974, 0.365)
S (0.409, 0.512, 0.277)
S (0.591, 0.488, 0.723)
S (0.609, 0.026, 0.635)
S (0.735, 0.012, 0.103)
S (0.749, 0.265, 0.014)
S (0.751, 0.765, 0.516)
S (0.765, 0.868, 0.277)
S (0.891, 0.526, 0.417)
S (0.909, 0.632, 0.897)

=====

Entry 6:
Computed, not measured: a crystal of K2BaSb relaxed with PBEsol at the SCAN level of DFT.

space-group type	P4/mmm (123)
DOS(E_F)	1.6	states/eV per cell
ρ	3.20	g cm⁻³
formation energy (no corrections)	-0.2361	eV per atom

Lattice parameters (Å, degrees): 4.911 4.911 7.256 90.00 90.00 90.00
Sites, in units of the cell vectors:
K (0.000, 0.000, 0.202)
K (0.000, 0.000, 0.798)
Ba (0.500, 0.500, 0.500)
Sb (0.500, 0.500, 0.000)

=====

Entry 7:
Computed, not measured: a crystal of KBaSb4 relaxed with PBEsol at the SCAN level of DFT.

space-group type	F-43m (216)
DOS(E_F)	4.1	states/eV per cell
ρ	5.81	g cm⁻³
formation energy (no corrections)	-0.5138	eV per atom

Lattice parameters (Å, degrees): 6.448 6.448 6.448 60.00 60.00 60.00
Sites, in units of the cell vectors:
K (0.000, 0.000, 0.000)
Ba (0.750, 0.750, 0.750)
Sb (0.374, 0.374, 0.374)
Sb (0.374, 0.374, 0.877)
Sb (0.374, 0.877, 0.374)
Sb (0.877, 0.374, 0.374)

=====

Entry 8:
Computed, not measured: a crystal of KBa2Sb relaxed with PBEsol at the SCAN level of DFT.

space-group type	P4mm (99)
DOS(E_F)	1.8	states/eV per cell
ρ	3.70	g cm⁻³
formation energy (no corrections)	-0.4571	eV per atom

Lattice parameters (Å, degrees): 4.725 4.725 8.757 90.00 90.00 90.00
Sites, in units of the cell vectors:
K (0.000, 0.000, 0.000)
Ba (0.000, 0.000, 0.389)
Ba (0.500, 0.500, 0.663)
Sb (0.500, 0.500, 0.274)

=====

Entry 9:
Computed, not measured: a crystal of K2BaSb relaxed with PBEsol at the SCAN level of DFT.

space-group type	Cmmm (65)
DOS(E_F)	1.8	states/eV per cell
ρ	3.22	g cm⁻³
formation energy (no corrections)	-0.4218	eV per atom

Lattice parameters (Å, degrees): 7.047 7.680 6.436 90.00 90.00 90.00
Sites, in units of the cell vectors:
K (0.000, 0.209, 0.000)
K (0.000, 0.791, 0.000)
K (0.500, 0.291, 0.000)
K (0.500, 0.709, 0.000)
Ba (0.000, 0.500, 0.500)
Ba (0.500, 0.000, 0.500)
Sb (0.000, 0.000, 0.500)
Sb (0.500, 0.500, 0.500)

=====

Entry 10:
Computed, not measured: a crystal of KBa2Sb relaxed with PBEsol at the SCAN level of DFT.

space-group type	F-43m (216)
DOS(E_F)	14.1	states/eV per cell
ρ	4.64	g cm⁻³
formation energy (no corrections)	-0.2633	eV per atom

Lattice parameters (Å, degrees): 8.541 8.541 8.541 90.00 90.00 90.00
Sites, in units of the cell vectors:
K (0.000, 0.000, 0.000)
K (0.000, 0.500, 0.500)
K (0.500, 0.000, 0.500)
K (0.500, 0.500, 0.000)
Ba (0.000, 0.000, 0.500)
Ba (0.000, 0.500, 0.000)
Ba (0.250, 0.250, 0.750)
Ba (0.250, 0.750, 0.250)
Ba (0.500, 0.000, 0.000)
Ba (0.500, 0.500, 0.500)
Ba (0.750, 0.250, 0.250)
Ba (0.750, 0.750, 0.750)
Sb (0.250, 0.250, 0.250)
Sb (0.250, 0.750, 0.750)
Sb (0.750, 0.250, 0.750)
Sb (0.750, 0.750, 0.250)

=====

Entry 11:
Computed, not measured: a crystal of K2BaSb relaxed with PBEsol at the SCAN level of DFT.

space-group type	Pm (6)
DOS(E_F)	2.0	states/eV per cell
ρ	2.51	g cm⁻³
formation energy (no corrections)	-0.5092	eV per atom

Lattice parameters (Å, degrees): 5.005 4.660 9.886 90.00 104.53 90.00
Sites, in units of the cell vectors:
K (0.000, 0.000, 0.000)
K (0.317, 0.500, 0.642)
Ba (0.667, 0.000, 0.337)
Sb (0.138, 0.500, 0.278)

=====

Entry 12:
Computed, not measured: a crystal of K2BaSb relaxed with PBEsol at the SCAN level of DFT.

space-group type	P4mm (99)
DOS(E_F)	2.4	states/eV per cell
ρ	2.78	g cm⁻³
formation energy (no corrections)	-0.4389	eV per atom

Lattice parameters (Å, degrees): 4.550 4.550 9.725 90.00 90.00 90.00
Sites, in units of the cell vectors:
K (0.000, 0.000, 0.000)
K (0.500, 0.500, 0.349)
Ba (0.500, 0.500, 0.698)
Sb (0.000, 0.000, 0.575)

=====

The highest ρ belongs to which entry?
KBaRu2

=====

What is the DOS(E_F) in the third record?
5.3 states/eV per cell

=====

Which value of ρ does entry 3 give?
3.68 g cm⁻³

=====

Which of these has the lowest ρ?
number 11